Here is crystalline Li2V5B3O13 at its relaxed geometry from Alexandria via LeMat-Bulk. Energies are from PBE+U.

Properties
For the calculated total energy, the calculation gives -7.655 eV/atom. The symmetry is No. 11.

CIF file:
```
data_Li2V5B3O13
_symmetry_space_group_name_H-M 'P 1'
_symmetry_Int_Tables_number 1
_cell_length_a 9.6055
_cell_length_b 3.2354
_cell_length_c 15.1114
_cell_angle_alpha 90.00
_cell_angle_beta 106.39
_cell_angle_gamma 90.00
loop_
_symmetry_equiv_pos_as_xyz
'x,y,z'
loop_
_atom_site_label
_atom_site_fract_x
_atom_site_fract_y
_atom_site_fract_z
_atom_site_occupancy
Li1 0.1129 0.2500 0.0495 1
Li2 0.2152 0.7500 0.2353 1
Li3 0.7848 0.2500 0.7647 1
Li4 0.8871 0.7500 0.9505 1
V1 0.0223 0.2500 0.3150 1
V2 0.1441 0.2500 0.5641 1
V3 0.3134 0.2500 0.7948 1
V4 0.3582 0.7500 0.9960 1
V5 0.4632 0.7500 0.6380 1
V6 0.5368 0.2500 0.3620 1
V7 0.6418 0.2500 0.0040 1
V8 0.6866 0.7500 0.2052 1
V9 0.8559 0.7500 0.4359 1
V10 0.9777 0.7500 0.6850 1
B1 0.0914 0.7500 0.8803 1
B2 0.2961 0.7500 0.4267 1
B3 0.4054 0.2500 0.1793 1
B4 0.5946 0.7500 0.8207 1
B5 0.7039 0.2500 0.5733 1
B6 0.9086 0.2500 0.1197 1
O1 0.0114 0.7500 0.5642 1
O2 0.0437 0.2500 0.1812 1
O3 0.1123 0.2500 0.7042 1
O4 0.1167 0.7500 0.9747 1
O5 0.1704 0.7500 0.3515 1
O6 0.2198 0.7500 0.8539 1
O7 0.2767 0.7500 0.5151 1
O8 0.3291 0.2500 0.0871 1
O9 0.3427 0.2500 0.2493 1
O10 0.3439 0.2500 0.6579 1
O11 0.4265 0.2500 0.9353 1
O12 0.4314 0.7500 0.4125 1
O13 0.4433 0.7500 0.7889 1
O14 0.5567 0.2500 0.2111 1
O15 0.5686 0.2500 0.5875 1
O16 0.5735 0.7500 0.0647 1
O17 0.6561 0.7500 0.3421 1
O18 0.6573 0.7500 0.7507 1
O19 0.6709 0.7500 0.9129 1
O20 0.7233 0.2500 0.4849 1
O21 0.7802 0.2500 0.1461 1
O22 0.8296 0.2500 0.6485 1
O23 0.8833 0.2500 0.0253 1
O24 0.8877 0.7500 0.2958 1
O25 0.9563 0.7500 0.8188 1
O26 0.9886 0.2500 0.4358 1
```